Entry 1:
Compound: Pu4US5
Source: Alexandria
Functional: PBE
Structure: optimized geometry

Cell and atoms, written as POSCAR:
```
Pu4US5
1.0
3.8866 0.0000 -0.5477
-0.0772 3.8859 -0.5477
0.0249 0.0254 14.2400
Pu U S
4 1 5
Direct
0.4009 0.4009 0.8018
0.8008 0.8008 0.6016
0.1992 0.1992 0.3984
0.5991 0.5991 0.1982
0.0000 0.0000 0.0000
0.0992 0.0992 0.1984
0.5000 0.5000 0.0000
0.9008 0.9008 0.8016
0.2990 0.2990 0.5980
0.7010 0.7010 0.4020
```

* space group: I4/mmm
* final energy: -10.5813 eV per atom
* Fermi-level density of states: 34.3 states/eV per cell
* energy relative to the elements, uncorrected: -1.656 eV per atom

***

Entry 2:
Compound: Te4OsSe
Source: Alexandria
Functional: PBE
Structure: optimized geometry

Cell and atoms, written as POSCAR:
```
Te4OsSe
1.0
0.0000 4.3443 4.3443
4.3443 0.0000 4.3443
4.3443 4.3443 0.0000
Te Os Se
4 1 1
Direct
0.8742 0.3753 0.3753
0.3753 0.3753 0.8742
0.3753 0.8742 0.3753
0.3753 0.3753 0.3753
0.7500 0.7500 0.7500
0.0000 0.0000 0.0000
```

* space group: F-43m
* final energy: -3.1278 eV per atom
* Fermi-level density of states: 7.1 states/eV per cell
* energy relative to the elements, uncorrected: 1.419 eV per atom

***

Entry 3:
Compound: Pr8NdY3
Source: Alexandria
Functional: PBE
Structure: optimized geometry

Cell and atoms, written as POSCAR:
```
Pr8NdY3
1.0
8.8208 -1.0413 0.5439
-6.8501 6.5617 -3.5391
3.9905 1.0413 7.8854
Pr Nd Y
8 1 3
Direct
0.6088 0.1932 0.1943
0.4290 0.7811 0.7772
0.0011 0.8068 0.4155
0.9961 0.2189 0.6479
0.3161 0.3266 0.2282
0.2279 0.5524 0.0815
0.9015 0.6734 0.9895
0.5291 0.4476 0.6755
0.9097 0.0000 0.9098
0.6566 0.9216 0.3346
0.4129 0.0784 0.7350
0.0110 0.5000 0.5110
```

* E_form: 1.66 eV per formula unit
* space group: C2
* final energy: -5.0615 eV per atom
* Fermi-level density of states: 19.0 states/eV per cell

***

Entry 4:
Compound: POsRuCl2
Source: Alexandria
Functional: PBE
Structure: optimized geometry

Cell and atoms, written as POSCAR:
```
POsRuCl2
1.0
4.9074 0.0000 0.0000
0.0000 4.9074 0.0000
0.0000 0.0000 4.4818
Ru Os P Cl
1 1 1 2
Direct
0.5000 0.5000 0.5000
0.0000 0.0000 0.0000
0.0000 0.0000 0.5000
0.0000 0.5000 0.0000
0.5000 0.0000 0.0000
```

* relative energy among the computed polymorphs: 0.0 meV/atom
* space group: P4/mmm
* final energy: -4.7931 eV per atom
* Fermi-level density of states: 3.2 states/eV per cell
* energy relative to the elements, uncorrected: 1.129 eV per atom

***

final energy of number 1 (Pu4US5)? -10.5813 eV per atom